# CaFeS2, optimized geometry, DFT PBE-GGA
data_CaFeS2
_space_group_name_H-M_alt 'I -4 2 d'
_space_group_IT_number 122
_space_group_name_Hall 'I -4 2bw'
_cell_length_a 6.635
_cell_length_b 6.635
_cell_length_c 6.740
_cell_angle_alpha 90.00
_cell_angle_beta 90.00
_cell_angle_gamma 90.00
loop_
_atom_site_label
_atom_site_fract_x
_atom_site_fract_y
_atom_site_fract_z
_atom_site_occupancy
Ca1 0.000 0.000 0.000 1
Fe1 0.000 0.000 0.500 1
S1 0.159 0.250 0.625 1
# Crystal system: tetragonal
# Magnetization, μB/f.u.: 0.0
# Raw formation energy, eV/atom: -0.9665